GGA+U CoPdO2, optimized geometry; final energy = -20.3 eV per cell; symmetry = Fm-3m, No. 225; size of the total moment = 0.250 μB/atom
1.0
1.594 0.474 3.520
-0.393 3.389 1.875
-2.274 0.228 3.152
Co O Pd
1 2 1
direct
0.000 0.000 0.000
0.250 0.250 0.250
0.750 0.750 0.750
0.500 0.500 0.500